Material: ZrCr2O
Method: DFT, GGA+U
State: optimized geometry

a = 6.0455 Å, b = 6.0455 Å, c = 6.0154 Å
α = 59.83°, β = 59.83°, γ = 90.00°
Fractional positions:
Cr (0.4586, 0.1250, 0.2500)
Cr (0.2914, 0.6250, 0.2500)
Cr (0.3750, 0.5414, 0.7500)
Cr (0.8750, 0.7086, 0.7500)
O (0.5000, 0.5000, 0.0000)
O (0.2500, 0.7500, 0.5000)
Zr (0.0000, 0.0000, 0.0000)
Zr (0.7500, 0.2500, 0.5000)

Output
Crystal system = tetragonal
Space group = I-42d
DFT total energy = -7.318 eV per atom